GGA-PBE Ho3ScN4, relaxed; symmetry = P2/c; formation energy (no corrections) = -1.752 eV/atom; calculated density = 8.97 Mg/m³; VASP energy = -8.4232 eV/atom
1.0
5.8712 0.0000 0.0000
0.0000 6.7880 0.0000
-1.9567 0.0000 5.5364
Ho Sc N
6 2 8
Cartesian
-0.4892 0.8340 1.3841
-1.4675 2.5296 4.1523
-0.4892 4.2584 1.3841
-1.4675 5.9540 4.1523
2.4464 2.5310 1.3841
1.4681 4.2570 4.1523
1.4681 0.8207 4.1523
2.4464 5.9673 1.3841
0.4934 2.5179 2.7933
1.4718 4.2702 0.0250
-0.4292 0.8065 5.5323
0.5492 5.9816 2.7641
3.3654 0.8065 2.7723
4.3437 5.9816 0.0041
2.4428 2.5179 5.5114
3.4211 4.2702 2.7432

***

GGA-PBE CaVSn2, relaxed; symmetry = R-3m; calculated formation energy = 275 meV/atom; calculated density = 5.07 Mg/m³; VASP energy = -4.5068 eV/atom
1.0
1.7120 0.9884 10.5918
-1.7120 0.9884 10.5918
0.0000 -1.9769 10.5918
Ca V Sn
1 1 2
Cartesian
0.0000 0.0000 0.0000
0.0000 0.0000 15.8878
0.0000 0.0000 3.2084
0.0000 0.0000 28.5671

***

GGA-PBE TbPmDyHg, relaxed; symmetry = P4mm; calculated formation energy = -231 meV/atom; calculated density = 9.36 Mg/m³; VASP energy = -3.8023 eV/atom
1.0
3.6476 0.0000 0.0000
0.0000 3.6476 0.0000
0.0000 0.0000 8.8938
Tb Pm Dy Hg
1 1 1 1
Cartesian
0.0000 0.0000 0.0000
1.8238 1.8238 2.5099
0.0000 0.0000 5.0106
1.8238 1.8238 6.9332

***

GGA-PBE YCu2W, relaxed; symmetry = F-43m; calculated formation energy = 703 meV/atom; calculated density = 9.43 Mg/m³; VASP energy = -6.1989 eV/atom
1.0
0.0000 3.2774 3.2774
3.2774 0.0000 3.2774
3.2774 3.2774 0.0000
Y Cu W
1 2 1
Cartesian
0.0000 0.0000 0.0000
3.2774 3.2774 3.2774
4.9160 4.9160 4.9160
1.6387 1.6387 1.6387

***

GGA-PBE Zr6Hg2H, relaxed; symmetry = P2_1/c; calculated density = 8.55 Mg/m³; VASP energy = -6.2171 eV/atom
1.0
6.0680 0.0000 0.0000
0.0000 6.0413 0.0000
-6.0153 0.0000 10.0562
Zr Hg H
12 4 2
Cartesian
-0.8311 0.0146 2.5314
-3.8388 3.0060 7.5595
-2.2850 1.4638 5.2470
0.7226 1.5568 0.2189
-0.8069 4.2388 5.2334
2.2007 4.8232 0.2053
-2.1479 1.2181 9.8509
0.8597 1.8025 4.8228
-0.6698 4.4844 9.8373
2.3378 4.5775 4.8092
3.8916 3.0353 2.4967
0.8839 6.0266 7.5249
0.7461 3.5307 2.4671
-2.2615 5.5313 7.4952
2.3143 0.5100 2.5610
-0.6933 2.5106 7.5891
0.0264 0.0000 5.0281
3.0340 3.0206 0.0000

***

GGA-PBE Cu4Br5, relaxed; symmetry = P6_3/mcm; formation energy (no corrections) = 0.041 eV/atom; calculated density = 5.69 Mg/m³; VASP energy = -2.7087 eV/atom
1.0
7.7330 0.0000 0.0000
-3.8665 6.6970 0.0000
0.0000 0.0000 7.3700
Cu Br
8 10
Cartesian
0.0000 0.0000 0.0000
0.0000 0.0000 3.6850
-1.6887 2.9249 1.8425
-2.1778 3.7721 5.5275
3.3773 0.0000 1.8425
1.6887 2.9249 5.5275
4.3557 0.0000 5.5275
2.1778 3.7721 1.8425
-0.9547 1.6535 5.5275
-2.9119 5.0435 1.8425
1.9093 0.0000 5.5275
0.9547 1.6535 1.8425
0.0000 4.4647 0.0000
0.0000 4.4647 3.6850
3.8665 2.2323 0.0000
3.8665 2.2323 3.6850
5.8237 0.0000 1.8425
2.9119 5.0435 5.5275

***

GGA-PBE K2BeMo, relaxed; symmetry = P2/m; calculated formation energy = 1482 meV/atom; calculated density = 3.46 Mg/m³; VASP energy = -2.7056 eV/atom
1.0
2.7297 0.0000 0.0000
0.0000 5.9638 0.0000
-0.3548 0.0000 5.3992
K Be Mo
2 1 1
Cartesian
0.5278 0.0000 1.3791
1.8471 0.0000 4.0200
-0.1774 2.9819 2.6996
1.3649 2.9819 0.0000

***

GGA-PBE Ac8Sb3Te4S, relaxed; symmetry = R-3m; formation energy (no corrections) = -1.467 eV/atom; calculated density = 7.63 Mg/m³; VASP energy = -5.3379 eV/atom
1.0
4.7007 2.7140 7.7470
-4.7007 2.7140 7.7470
0.0000 -5.4279 7.7470
Ac Sb Te S
8 3 4 1
Cartesian
0.0000 0.0000 5.7481
-2.2629 -1.3065 13.4223
0.0000 -2.6130 9.8186
-2.2629 1.3065 9.8186
2.2629 -1.3065 13.4223
0.0000 2.6130 13.4223
2.2629 1.3065 9.8187
0.0000 0.0000 17.4929
-4.7007 0.0000 11.6205
-2.3504 1.3570 3.8735
2.3504 1.3570 3.8735
0.0000 0.0000 0.0000
-2.3504 -1.3570 7.7470
-2.3504 1.3570 15.4939
0.0000 2.7140 7.7470
0.0000 0.0000 11.6205

***

GGA-PBE Sm2SnBi, relaxed; symmetry = Cmcm; calculated formation energy = -833 meV/atom; calculated density = 8.31 Mg/m³; VASP energy = -5.1636 eV/atom
1.0
2.3046 -12.2686 0.0000
2.3046 12.2686 0.0000
0.0000 0.0000 4.4419
Sm Sn Bi
4 2 2
Cartesian
2.3046 10.7525 3.3314
2.3046 4.4421 3.3314
2.3046 -4.4421 1.1105
2.3046 -10.7525 1.1105
2.3046 1.1089 3.3314
2.3046 -1.1089 1.1105
2.3046 7.6308 3.3314
2.3046 -7.6308 1.1105

***

GGA-PBE Sr2ScNi, relaxed; symmetry = R-3m; calculated formation energy = 372 meV/atom; calculated density = 3.53 Mg/m³; VASP energy = -3.4975 eV/atom
1.0
1.9450 1.1229 9.9987
-1.9450 1.1229 9.9987
0.0000 -2.2459 9.9987
Sr Sc Ni
2 1 1
Cartesian
0.0000 0.0000 6.8562
0.0000 0.0000 23.1399
0.0000 0.0000 0.0000
0.0000 0.0000 14.9981

***

GGA-PBE PuTiAl, relaxed; symmetry = P2_1/c; calculated formation energy = -45 meV/atom; calculated density = 9.91 Mg/m³; VASP energy = -8.7016 eV/atom
1.0
9.4095 0.0000 0.0000
0.0000 3.0917 0.0000
-3.1384 0.0000 7.3435
Pu Ti Al
4 4 4
Cartesian
-0.2474 0.4191 1.0971
-1.8166 1.1267 4.7689
8.0877 1.9650 2.5747
6.5184 2.6726 6.2464
2.8028 2.3127 2.4517
1.2336 2.3248 6.1234
5.0375 0.7669 1.2201
3.4683 0.7790 4.8918
0.9554 0.7016 3.8342
2.5246 0.8442 0.1624
3.7465 2.2475 7.1811
5.3157 2.3901 3.5093

***

GGA-PBE HgOs2Ru, relaxed; symmetry = Cmm2; calculated formation energy = 771 meV/atom; calculated density = 17.50 Mg/m³; VASP energy = -7.2382 eV/atom
1.0
1.3960 -2.3957 0.0000
1.3960 2.3957 0.0000
0.0000 0.0000 9.6754
Hg Os Ru
1 2 1
Cartesian
0.0000 0.0000 0.0000
0.0000 0.0000 4.7974
1.3960 0.0000 7.0372
1.3960 0.0000 2.5632

***

GGA-PBE Na2NpInCl8, relaxed; symmetry = P-1; formation energy (no corrections) = -1.521 eV/atom; calculated density = 3.27 Mg/m³; VASP energy = -4.2787 eV/atom
1.0
6.3794 0.0000 0.0000
-0.4245 6.5354 0.0000
-0.0609 -0.0574 8.2881
Na Np In Cl
2 1 1 8
Cartesian
-0.0069 -0.0062 2.0191
5.9009 6.4842 6.2690
2.9470 3.2390 4.1440
2.9774 3.2677 0.0000
1.3456 1.0980 4.1726
1.4844 1.2660 0.0086
1.5132 4.2413 6.3108
1.5734 4.3072 1.9720
4.3206 2.1708 6.3161
4.3807 2.2367 1.9773
4.4095 5.2120 8.2795
4.5483 5.3800 4.1155

***

GGA-PBE BaNiCl2, relaxed; symmetry = Cm; formation energy (no corrections) = -1.206 eV/atom; calculated density = 4.01 Mg/m³; VASP energy = -4.0551 eV/atom
1.0
5.5204 -2.0334 0.0000
5.5204 2.0334 0.0000
-0.6316 0.0000 4.9287
Ba Ni Cl
1 1 2
Cartesian
0.0000 0.0000 0.0000
3.0754 0.0000 1.0898
4.8811 0.0000 2.4939
7.9035 0.0000 0.5918

***

GGA-PBE AlSiPb, relaxed; symmetry = P3m1; formation energy (no corrections) = 0.418 eV/atom; calculated density = 6.42 Mg/m³; VASP energy = -3.8729 eV/atom
1.0
3.3770 0.0000 0.0000
-1.6885 2.9246 0.0000
0.0000 0.0000 6.8712
Al Si Pb
1 1 1
Cartesian
0.0000 0.0000 0.0000
1.6885 0.9749 5.1375
0.0000 1.9497 2.6096

***

GGA-PBE La8AgIr3I4, relaxed; symmetry = R-3m; formation energy (no corrections) = -0.984 eV/atom; calculated density = 7.19 Mg/m³; VASP energy = -5.6744 eV/atom
1.0
4.3144 2.4909 8.2521
-4.3144 2.4909 8.2521
0.0000 -4.9818 8.2521
La Ag Ir I
8 1 3 4
Cartesian
-2.2825 -1.3178 13.9316
0.0000 0.0000 5.6696
0.0000 -2.6356 10.8247
-2.2825 1.3178 10.8247
2.2825 -1.3178 13.9317
0.0000 2.6356 13.9317
0.0000 0.0000 19.0867
2.2825 1.3178 10.8247
0.0000 0.0000 12.3782
-4.3144 0.0000 12.3782
-2.1572 1.2454 4.1261
2.1572 1.2454 4.1261
0.0000 0.0000 0.0000
-2.1572 -1.2454 8.2521
-2.1572 1.2454 16.5042
0.0000 2.4909 8.2521

***

GGA-PBE DyMg3Au3, relaxed; symmetry = Pm-3n; calculated formation energy = -44 meV/atom; calculated density = 7.33 Mg/m³; VASP energy = -2.7889 eV/atom
1.0
7.2058 0.0000 0.0000
0.0000 7.2058 0.0000
0.0000 0.0000 7.2058
Dy Mg Au
2 6 6
Cartesian
0.0000 0.0000 0.0000
3.6029 3.6029 3.6029
0.0000 1.8015 3.6029
0.0000 5.4044 3.6029
1.8015 3.6029 0.0000
3.6029 0.0000 1.8015
3.6029 0.0000 5.4044
5.4044 3.6029 0.0000
0.0000 3.6029 1.8015
0.0000 3.6029 5.4044
1.8015 0.0000 3.6029
3.6029 1.8015 0.0000
3.6029 5.4044 0.0000
5.4044 0.0000 3.6029

***

GGA-PBE TaNiMo, relaxed; symmetry = P-1; calculated formation energy = 50 meV/atom; calculated density = 12.24 Mg/m³; VASP energy = -9.4379 eV/atom
1.0
4.7220 0.0000 0.0000
-2.0827 4.2667 0.0000
-0.7333 -2.3158 4.5177
Ta Ni Mo
2 2 2
Cartesian
-0.7204 1.2911 1.0887
2.6264 0.6597 3.4290
1.5709 0.0169 0.9962
0.3351 1.9340 3.5215
0.2973 -0.8102 3.2741
1.6088 2.7611 1.2436

***

GGA-PBE NaTbAg2F6, relaxed; symmetry = R3; formation energy (no corrections) = -2.570 eV/atom; calculated density = 5.23 Mg/m³; VASP energy = -4.8581 eV/atom
1.0
3.0247 1.7463 5.1234
-3.0247 1.7463 5.1234
0.0000 -3.4926 5.1234
Na Tb Ag F
1 1 2 6
Cartesian
0.0000 0.0000 0.0000
0.0000 0.0000 7.6829
0.0000 0.0000 4.2386
0.0000 0.0000 11.8275
-1.7336 0.2031 6.3003
-1.1671 -1.4796 8.8178
0.6909 -1.6029 6.3003
-0.6978 1.7505 8.8178
1.0427 1.3998 6.3003
1.8649 -0.2710 8.8178

***

GGA-PBE Cr3BP, relaxed; symmetry = C2/m; calculated formation energy = -228 meV/atom; calculated density = 6.24 Mg/m³; VASP energy = -8.4196 eV/atom
1.0
8.0839 -1.4644 0.0000
8.0839 1.4644 0.0000
-0.7380 0.0000 4.4449
Cr B P
6 2 2
Cartesian
-0.0924 0.0000 1.0284
2.7362 0.0000 2.6199
5.1595 0.0000 4.1320
10.2703 0.0000 0.3129
12.6935 0.0000 1.8250
15.5222 0.0000 3.4165
3.7460 0.0000 0.4103
11.6838 0.0000 4.0346
6.3778 0.0000 1.9800
9.0520 0.0000 2.4649